1.
Material: Y2NiRu3
Method: DFT, PBEsol
State: relaxed

Unit cell a=5.180 b=5.180 c=5.223 alpha=60.28 beta=60.28 gamma=60.00
Atoms (fractional coordinates):
1 Ni 0.500 0.500 0.500
2 Ru 0.000 0.500 0.000
3 Ru 0.500 0.000 0.000
4 Ru 0.500 0.500 0.000
5 Y 0.877 0.877 0.370
6 Y 0.123 0.123 0.630

Values from the calculation:
Formation enthalpy at 0 K: -0.327 eV/atom
VASP energy: -8.71 eV/atom
Density of states at the Fermi level: 3.54 states/eV per cell
Spin magnetization: 0.00 μB/atom

---

2.
Material: Zr5Os3
Method: DFT, PBEsol
State: relaxed

Unit cell a=5.612 b=7.853 c=7.853 alpha=120.00 beta=90.00 gamma=90.00
Atoms (fractional coordinates):
1 Os 0.250 0.000 0.598
2 Os 0.750 0.402 0.000
3 Os 0.750 0.000 0.402
4 Os 0.250 0.402 0.402
5 Os 0.250 0.598 0.000
6 Os 0.750 0.598 0.598
7 Zr 0.250 0.762 0.762
8 Zr 0.000 0.667 0.333
9 Zr 0.750 0.238 0.238
10 Zr 0.750 0.762 0.000
11 Zr 0.250 0.238 0.000
12 Zr 0.750 0.000 0.762
13 Zr 0.500 0.333 0.667
14 Zr 0.500 0.667 0.333
15 Zr 0.000 0.333 0.667
16 Zr 0.250 0.000 0.238

Values from the calculation:
Formation enthalpy at 0 K: -0.360 eV/atom
VASP energy: -10.62 eV/atom
Density of states at the Fermi level: 14.92 states/eV per cell
Spin magnetization: 0.00 μB/atom
Energy above the lowest structure with this stoichiometry: 0.000 eV/atom

---

3.
Material: TcPPtS2
Method: DFT, PBEsol
State: relaxed

Unit cell a=4.410 b=4.410 c=4.668 alpha=90.00 beta=90.00 gamma=90.00
Atoms (fractional coordinates):
1 S 0.000 0.500 0.000
2 S 0.500 0.000 0.000
3 P 0.000 0.000 0.500
4 Pt 0.500 0.500 0.500
5 Tc 0.000 0.000 0.000

Values from the calculation:
VASP energy: -5.80 eV/atom
Density of states at the Fermi level: 5.49 states/eV per cell
Spin magnetization: 0.00 μB/atom
Formation energy without anion corrections: 754 meV per atom

---

4.
Material: LiCdAg4
Method: DFT, PBEsol
State: relaxed

Unit cell a=5.412 b=5.412 c=5.412 alpha=60.00 beta=60.00 gamma=60.00
Atoms (fractional coordinates):
1 Cd 0.750 0.750 0.750
2 Ag 0.375 0.375 0.875
3 Ag 0.375 0.375 0.375
4 Ag 0.875 0.375 0.375
5 Ag 0.375 0.875 0.375
6 Li 0.000 0.000 0.000

Values from the calculation:
Formation enthalpy at 0 K: -0.029 eV/atom
VASP energy: -2.76 eV/atom
Density of states at the Fermi level: 2.20 states/eV per cell
Spin magnetization: 0.00 μB/atom